Record 1
SmHo2Ru: optimized geometry, PBE.

Properties
Space-group type: P4/mmm (123)
Volume: 26.3 Å³ per atom
Energy of formation: -5.51 kcal/mol of atoms
Total magnetization: 0.0 μB per formula unit
Density: 9.2 g cm⁻³
ΔE to the lowest computed polymorph: 66 meV/atom

Cell and atoms, written as POSCAR:
```
SmHo2Ru
1.0
-2.425 0.408 2.386
-1.333 -3.044 -0.834
5.292 -3.977 6.059
Ho Sm Ru
2 1 1
direct
0.000 0.000 0.818
0.000 0.000 0.182
0.500 0.500 0.500
0.500 0.500 0.000
```

Record 2
SmHoSnRu: optimized geometry, PBE.

Properties
Space-group type: F-43m (216)
Volume: 23.7 Å³ per atom
Energy of formation: -8.56 kcal/mol of atoms
Total magnetization: 0.0 μB per formula unit
Density: 9.4 g cm⁻³

Cell and atoms, written as POSCAR:
```
SmHoSnRu
1.0
-4.801 -1.721 0.387
-1.406 -2.764 4.068
-3.163 2.005 3.485
Sn Ru Sm Ho
1 1 1 1
direct
0.250 0.250 0.250
0.750 0.750 0.750
0.500 0.500 0.500
0.000 0.000 0.000
```

Record 3
SmHoTlRu: optimized geometry, PBE.

Properties
Space-group type: F-43m (216)
Volume: 23.8 Å³ per atom
Energy of formation: -5.09 kcal/mol of atoms
Total magnetization: 0.0 μB per formula unit
Density: 10.8 g cm⁻³

Cell and atoms, written as POSCAR:
```
SmHoTlRu
1.0
-2.676 -4.367 0.182
-1.254 -2.420 -4.340
2.258 -4.441 -1.202
Sm Ho Tl Ru
1 1 1 1
direct
0.500 0.500 0.500
0.000 0.000 0.000
0.250 0.250 0.250
0.750 0.750 0.750
```

Record 4
SmHoZnRu: optimized geometry, PBE.

Properties
Space-group type: F-43m (216)
Volume: 21.5 Å³ per atom
Energy of formation: -7.32 kcal/mol of atoms
Total magnetization: 0.0 μB per formula unit
Density: 9.3 g cm⁻³
ΔE to the lowest computed polymorph: 0 meV/atom

Cell and atoms, written as POSCAR:
```
SmHoZnRu
1.0
-1.257 -0.059 4.795
3.449 -0.856 3.456
1.472 3.666 2.994
Zn Ru Sm Ho
1 1 1 1
direct
0.250 0.250 0.250
0.750 0.750 0.750
0.000 0.000 0.000
0.500 0.500 0.500
```

Record 5
SmHoZnRu: optimized geometry, PBE.

Properties
Space-group type: Amm2 (38)
Volume: 22.7 Å³ per atom
Energy of formation: -7.00 kcal/mol of atoms
Total magnetization: 0.0 μB per formula unit
Density: 8.8 g cm⁻³
ΔE to the lowest computed polymorph: 14 meV/atom

Cell and atoms, written as POSCAR:
```
SmHoZnRu
1.0
3.971 0.000 0.000
0.000 4.303 0.000
-1.985 0.000 5.318
Ho Sm Ru Zn
1 1 1 1
direct
0.137 0.000 0.275
0.855 0.500 0.710
0.576 0.500 0.151
0.432 0.000 0.864
```

Record 6
Ho2SnRu: optimized geometry, PBE.

Properties
Space-group type: P4/mmm (123)
Volume: 22.5 Å³ per atom
Energy of formation: -10.28 kcal/mol of atoms
Total magnetization: 0.0 μB per formula unit
Density: 10.1 g cm⁻³
ΔE to the lowest computed polymorph: 122 meV/atom

Cell and atoms, written as POSCAR:
```
Ho2SnRu
1.0
3.828 0.000 0.000
0.000 4.852 0.000
0.000 0.000 4.852
Sn Ho Ru
1 2 1
direct
0.500 0.000 0.000
0.000 0.500 0.000
0.000 0.000 0.500
0.500 0.500 0.500
```

Question: density of number 4 (SmHoZnRu)?
Answer: 9.3 g cm⁻³

Question: volume of number 2 (SmHoSnRu)?
Answer: 23.7 Å³ per atom

Question: Which of these has the highest density?
Answer: SmHoTlRu

Question: The highest density belongs to which entry?
Answer: SmHoTlRu